*w*
Crystalline LiCaSN at its relaxed geometry. Source: Alexandria via LeMat-Bulk, functional PBE.

a = 5.3903 Å, b = 4.8618 Å, c = 5.0300 Å
α = 90.00°, β = 113.02°, γ = 90.00°
Closest atoms and distances in Å follow each position.
Space group Cm (No. 8)
Unique sites:
Li (0.0000, 0.0000, 0.0000) [2 per cell]  1 N 1.94
Ca (0.1088, 0.5000, 0.4061) [2 per cell]  3 N 2.44-2.50
S (0.3274, 0.0000, 0.7634) [2 per cell]  1 N 1.77
N (0.0742, 0.0000, 0.4094) [2 per cell]  1 S 1.77, 1 Li 1.94

size of the total moment = 0.00 μB per atom
density = 2.548 g cm⁻³

*x*
Crystalline LiCaSN at its relaxed geometry. Source: Alexandria via LeMat-Bulk, functional PBE.

a = 3.9632 Å, b = 3.9916 Å, c = 5.4087 Å
α = 71.16°, β = 73.79°, γ = 63.37°
Closest atoms and distances in Å follow each position.
Space group P1 (No. 1)
Unique sites:
Li (0.0000, 0.0000, 0.0000) [1 per cell]  1 N 2.10, 1 S 2.30
Ca (0.4765, 0.4227, 0.4283) [1 per cell]  3 N 2.41-2.48
S (0.3401, 0.3488, 0.9813) [1 per cell]  1 N 1.79
N (0.1560, 0.1118, 0.2962) [1 per cell]  1 S 1.79

size of the total moment = 0.00 μB per atom
density = 2.163 g cm⁻³

Pick *w*: it beats the second-best structure by 0.6 kJ/mol of atoms.